1.
An optimized crystal structure of PrSmTmHg, computed with PBE.

abc: 3.6786 3.6786 8.8941
angles: 90.00 90.00 90.00
Closest atoms and distances in Å follow each position.
Atoms (fractional coordinates):
Pr (0.0000, 0.0000, 0.0789)  4 Tm 3.60, 4 Sm 3.66, 4 Pr 3.68
Sm (0.5000, 0.5000, 0.7895)  4 Hg 3.32, 4 Pr 3.66, 4 Sm 3.68
Tm (0.5000, 0.5000, 0.3591)  4 Hg 3.14
Hg (0.0000, 0.0000, 0.5572)  4 Tm 3.14, 4 Sm 3.32

Values from the calculation:
ΔE_f   -232.4 meV per atom
Space-group type   P4mm (99)
Energy above the most stable polymorph in this dataset   0.00 eV per formula unit

2.
An optimized crystal structure of PrSmYHg, computed with PBE.

abc: 3.6877 3.6877 9.0179
angles: 90.00 90.00 90.00
Closest atoms and distances in Å follow each position.
Atoms (fractional coordinates):
Pr (0.0000, 0.0000, 0.0738)  4 Y 3.65, 4 Sm 3.66, 4 Pr 3.69
Sm (0.5000, 0.5000, 0.7892)  4 Hg 3.30, 4 Pr 3.66, 4 Sm 3.69
Y (0.5000, 0.5000, 0.3572)  4 Hg 3.21
Hg (0.0000, 0.0000, 0.5645)  4 Y 3.21, 4 Sm 3.30

Values from the calculation:
ΔE_f   -238.6 meV per atom
Space-group type   P4mm (99)

3.
An optimized crystal structure of Pr2SnHg, computed with PBE.

abc: 4.1393 5.3151 5.3151
angles: 90.00 90.00 90.00
Closest atoms and distances in Å follow each position.
Atoms (fractional coordinates):
Pr (0.0000, 0.0000, 0.5000)  4 Hg 3.37, 4 Sn 3.37, 4 Pr 3.76
Pr (0.0000, 0.5000, 0.0000)  4 Hg 3.37, 4 Sn 3.37, 4 Pr 3.76
Hg (0.5000, 0.5000, 0.5000)  8 Pr 3.37, 4 Sn 3.76
Sn (0.5000, 0.0000, 0.0000)  8 Pr 3.37, 4 Hg 3.76

Values from the calculation:
ΔE_f   -600.4 meV per atom
Space-group type   P4/mmm (123)
Energy above the most stable polymorph in this dataset   0.02 eV per formula unit

4.
An optimized crystal structure of Pr2SnHg, computed with PBE.

abc: 4.5756 6.3898 9.0383
angles: 111.24 90.00 90.00
Closest atoms and distances in Å follow each position.
Atoms (fractional coordinates):
Pr (0.7500, 0.2215, 0.4289)  3 Hg 3.29-3.51, 4 Sn 3.29-3.50
Pr (0.2500, 0.7785, 0.5711)  3 Hg 3.29-3.51, 4 Sn 3.29-3.50
Pr (0.2500, 0.7826, 0.0688)  4 Hg 3.26-3.54, 3 Sn 3.30-3.48
Pr (0.7500, 0.2174, 0.9312)  4 Hg 3.26-3.54, 3 Sn 3.30-3.48
Sn (0.7500, 0.6681, 0.2912)  2 Hg 3.05, 5 Pr 3.29-3.30
Sn (0.2500, 0.3319, 0.7088)  2 Hg 3.05, 5 Pr 3.29-3.30
Hg (0.2500, 0.3292, 0.2052)  2 Sn 3.05, 5 Pr 3.26-3.29
Hg (0.7500, 0.6708, 0.7948)  2 Sn 3.05, 5 Pr 3.26-3.29

Values from the calculation:
ΔE_f   -594.9 meV per atom
Space-group type   P2_1/m (11)
Energy above the most stable polymorph in this dataset   0.05 eV per formula unit